Computed, not measured: a relaxed RbNi2F7 crystal at the PBE with a Hubbard U level of DFT.

The structure in CIF format:
```
data_RbNi2F7
_cell_length_a 6.111
_cell_length_b 12.358
_cell_length_c 3.729
_cell_angle_alpha 90.00
_cell_angle_beta 90.00
_cell_angle_gamma 90.00
_space_group_name_H-M_alt 'C m m m'
_space_group_IT_number 65
_space_group_name_Hall '-C 2 2'
loop_
_atom_site_label
_atom_site_type_symbol
_atom_site_fract_x
_atom_site_fract_y
_atom_site_fract_z
Rb1 Rb 0.000 0.000 0.000
Ni1 Ni 0.000 0.343 0.500
F1 F 0.000 0.317 0.000
F2 F 0.000 0.500 0.500
F3 F 0.206 0.150 0.500
```

Computed properties:
- Total DFT energy (no corrections): -3.76 eV/atom
- N(E_F): 5.231 states/eV/cell
- M_tot: 0.197 μB per atom